{"formula": "Cd2Ag3Pd4", "functional": "PBE-GGA", "state": "relaxed", "lattice_angstrom": [[-4.909, 1.012, 1.475], [-3.229, -0.050, -7.269], [-2.790, -7.410, -0.760]], "species": ["Ag", "Ag", "Ag", "Ag", "Ag", "Ag", "Pd", "Pd", "Pd", "Pd", "Pd", "Pd", "Pd", "Pd", "Cd", "Cd", "Cd", "Cd"], "fractional_positions": [[0.750, 0.491, 0.509], [0.939, 0.961, 0.837], [0.439, 0.837, 0.961], [0.250, 0.509, 0.491], [0.561, 0.163, 0.039], [0.061, 0.039, 0.163], [0.420, 0.496, 0.832], [0.501, 0.181, 0.705], [0.580, 0.504, 0.168], [0.499, 0.819, 0.295], [0.999, 0.295, 0.819], [0.920, 0.832, 0.496], [0.080, 0.168, 0.504], [0.001, 0.705, 0.181], [0.890, 0.625, 0.841], [0.110, 0.375, 0.159], [0.610, 0.159, 0.375], [0.390, 0.841, 0.625]], "crystal_system": "monoclinic", "relative_energy_mev_per_atom": 116, "mass_density_g_cm3": 10.2, "formation_energy_ev_per_fu": -0.8}

=====

{"formula": "Cd2Ag3Pd7", "functional": "PBE-GGA", "state": "relaxed", "lattice_angstrom": [[2.825, 0.000, 0.000], [0.000, 5.149, 0.728], [0.000, 1.687, 14.167]], "species": ["Ag", "Ag", "Ag", "Cd", "Cd", "Pd", "Pd", "Pd", "Pd", "Pd", "Pd", "Pd"], "fractional_positions": [[0.000, 0.115, 0.338], [0.500, 0.500, 0.000], [0.000, 0.885, 0.662], [0.500, 0.374, 0.676], [0.500, 0.626, 0.324], [0.500, 0.062, 0.165], [0.500, 0.249, 0.499], [0.000, 0.000, 0.000], [0.000, 0.441, 0.836], [0.500, 0.751, 0.501], [0.500, 0.938, 0.835], [0.000, 0.559, 0.164]], "crystal_system": "monoclinic", "relative_energy_mev_per_atom": 0, "mass_density_g_cm3": 10.6, "formation_energy_ev_per_fu": -0.8}

=====

{"formula": "CdAgPd14", "functional": "PBE-GGA", "state": "relaxed", "lattice_angstrom": [[5.611, -0.012, 0.000], [0.012, 5.611, 0.000], [0.000, 0.000, 8.008]], "species": ["Pd", "Pd", "Pd", "Pd", "Pd", "Pd", "Pd", "Pd", "Pd", "Pd", "Pd", "Pd", "Pd", "Pd", "Ag", "Cd"], "fractional_positions": [[0.375, 0.875, 0.000], [0.875, 0.375, 0.500], [0.125, 0.625, 0.246], [0.375, 0.875, 0.500], [0.625, 0.625, 0.754], [0.625, 0.125, 0.246], [0.375, 0.375, 0.000], [0.875, 0.875, 0.000], [0.125, 0.125, 0.754], [0.625, 0.625, 0.246], [0.875, 0.375, 0.000], [0.125, 0.625, 0.754], [0.125, 0.125, 0.246], [0.625, 0.125, 0.754], [0.375, 0.375, 0.500], [0.875, 0.875, 0.500]], "crystal_system": "tetragonal", "mass_density_g_cm3": 11.3, "formation_energy_ev_per_fu": -0.8}

=====

{"formula": "CdAg4Pd3", "functional": "PBE-GGA", "state": "relaxed", "lattice_angstrom": [[-2.506, -2.314, 3.285], [2.237, -2.012, 0.289], [-7.044, 17.625, 3.629]], "species": ["Ag", "Ag", "Ag", "Ag", "Pd", "Pd", "Pd", "Cd"], "fractional_positions": [[0.876, 0.636, 0.752], [0.368, 0.046, 0.736], [0.632, 0.954, 0.264], [0.124, 0.364, 0.248], [0.246, 0.204, 0.492], [0.754, 0.796, 0.508], [0.000, 0.500, 0.000], [0.500, 0.000, 0.000]], "crystal_system": "monoclinic", "relative_energy_mev_per_atom": 69, "mass_density_g_cm3": 10.4, "formation_energy_ev_per_fu": -0.6}

=====

{"formula": "Cd2Ag2Pd15", "functional": "PBE-GGA", "state": "relaxed", "lattice_angstrom": [[1.010, 6.130, 3.169], [0.138, -2.284, 6.589], [6.919, -0.400, 0.782]], "species": ["Pd", "Pd", "Pd", "Pd", "Pd", "Pd", "Pd", "Pd", "Pd", "Pd", "Pd", "Pd", "Pd", "Pd", "Pd", "Cd", "Cd", "Ag", "Ag"], "fractional_positions": [[0.319, 0.000, 0.681], [0.681, 0.319, 0.000], [0.000, 0.681, 0.319], [0.835, 0.343, 0.343], [0.657, 0.657, 0.165], [0.343, 0.835, 0.343], [0.319, 0.681, 0.000], [0.165, 0.657, 0.657], [0.000, 0.500, 0.000], [0.657, 0.165, 0.657], [0.343, 0.343, 0.835], [0.000, 0.319, 0.681], [0.500, 0.000, 0.000], [0.000, 0.000, 0.500], [0.681, 0.000, 0.319], [0.895, 0.895, 0.895], [0.105, 0.105, 0.105], [0.379, 0.379, 0.379], [0.621, 0.621, 0.621]], "crystal_system": "trigonal", "mass_density_g_cm3": 10.3, "formation_energy_ev_per_fu": 0.9}

=====

{"formula": "Cd2AgPd6", "functional": "PBE-GGA", "state": "relaxed", "lattice_angstrom": [[2.814, 0.000, -0.116], [0.000, 7.792, 0.000], [-1.144, -3.896, 7.111]], "species": ["Cd", "Cd", "Pd", "Pd", "Pd", "Pd", "Pd", "Pd", "Ag"], "fractional_positions": [[0.666, 0.667, 0.335], [0.334, 0.333, 0.665], [0.834, 0.022, 0.668], [0.834, 0.645, 0.668], [0.166, 0.978, 0.332], [0.500, 0.686, 0.000], [0.500, 0.314, 0.000], [0.166, 0.355, 0.332], [0.000, 0.000, 0.000]], "crystal_system": "monoclinic", "relative_energy_mev_per_atom": 146, "mass_density_g_cm3": 10.4, "formation_energy_ev_per_fu": -0.8}